1.
Computed, not measured: a geometry-optimized CuHgPt2 structure at the PBE level of DFT.

Structure (POSCAR):
```
CuHgPt2
1.0
1.440 0.832 9.021
-1.440 0.832 9.021
0.000 -1.663 9.021
Cu Hg Pt
1 1 2
Direct
0.000 0.000 0.000
0.500 0.500 0.500
0.257 0.257 0.257
0.743 0.743 0.743
```

Symmetry ... R-3m, No. 166
Total energy ... -4.11 eV per atom
Energy of formation from the pure elements ... 0.01 eV/atom

=====

2.
Computed, not measured: a geometry-optimized Cu2HgPt structure at the PBE level of DFT.

Structure (POSCAR):
```
Cu2HgPt
1.0
0.000 3.143 3.143
3.143 0.000 3.143
3.143 3.143 0.000
Cu Hg Pt
2 1 1
Direct
0.000 0.000 0.000
0.250 0.250 0.250
0.750 0.750 0.750
0.500 0.500 0.500
```

Symmetry ... F-43m, No. 216
Total energy ... -3.56 eV per atom
Energy of formation from the pure elements ... 0.08 eV/atom

=====

3.
Computed, not measured: a geometry-optimized CuHg2Pt structure at the PBE level of DFT.

Structure (POSCAR):
```
CuHg2Pt
1.0
4.499 -1.521 0.000
4.499 1.521 0.000
-1.065 0.000 5.287
Cu Hg Pt
1 2 1
Direct
0.000 0.000 0.000
0.254 0.254 0.758
0.746 0.746 0.242
0.500 0.500 0.500
```

Energy above the lowest structure with this stoichiometry ... 0.065 eV per atom
Symmetry ... C2/m, No. 12
Total energy ... -2.54 eV per atom
Energy of formation from the pure elements ... 0.14 eV/atom

=====

4.
Computed, not measured: a geometry-optimized Cu2HgPt structure at the PBE level of DFT.

Structure (POSCAR):
```
Cu2HgPt
1.0
4.444 -1.450 0.000
4.444 1.450 0.000
-0.925 0.000 4.841
Cu Hg Pt
2 1 1
Direct
0.245 0.245 0.223
0.755 0.755 0.777
0.000 0.000 0.500
0.500 0.500 0.000
```

Symmetry ... C2/m, No. 12
Total energy ... -3.59 eV per atom
Energy of formation from the pure elements ... 0.04 eV/atom

=====

5.
Computed, not measured: a geometry-optimized CuHgPt2 structure at the PBE level of DFT.

Structure (POSCAR):
```
CuHgPt2
1.0
2.951 0.000 0.000
0.000 2.951 0.000
0.000 0.000 7.336
Cu Hg Pt
1 1 2
Direct
0.000 0.000 0.000
0.000 0.000 0.500
0.500 0.500 0.219
0.500 0.500 0.781
```

Symmetry ... P4/mmm, No. 123
Total energy ... -4.17 eV per atom
Energy of formation from the pure elements ... -0.05 eV/atom

=====

6.
Computed, not measured: a geometry-optimized Cu2HgPt structure at the PBE level of DFT.

Structure (POSCAR):
```
Cu2HgPt
1.0
-2.014 2.014 3.743
2.014 -2.014 3.743
2.014 2.014 -3.743
Cu Hg Pt
2 1 1
Direct
0.250 0.750 0.500
0.750 0.250 0.500
0.000 0.000 0.000
0.500 0.500 0.000
```

Symmetry ... I4/mmm, No. 139
Total energy ... -3.63 eV per atom
Energy of formation from the pure elements ... 0.00 eV/atom

=====

Q: total energy of number 6 (Cu2HgPt)?
A: -3.63 eV per atom